No. 1
First-principles (GGA-PBEsol) data for KCrTe after structural relaxation, as listed in Alexandria.

Output
Relative energy among the computed polymorphs   0 meV/atom
Total moment   5.0 μB/f.u.
Formation energy (no corrections)   -66 meV/atom

POSCAR file:
```
KCrTe
1.0
-1.1413 2.6939 3.6648
-2.0939 -4.1528 -0.5997
3.5953 -2.2089 2.7433
Cr K Te
1 1 1
Cartesian
1.7976 -1.1045 1.3717
-1.7764 -1.8706 0.8218
0.3388 -0.6928 3.6150
```

---

No. 2
First-principles (GGA-PBEsol) data for KCr5Te8 after structural relaxation, as listed in Alexandria.

Output
Total moment   15.0 μB/f.u.
Formation energy (no corrections)   -241 meV/atom

POSCAR file:
```
KCr5Te8
1.0
3.9290 0.0000 0.0000
0.0000 9.3679 0.0022
-1.9645 -2.4779 9.7242
Te Cr K
8 5 1
Cartesian
1.9645 6.6054 5.0700
1.9645 3.1114 6.4282
0.0000 7.2782 1.6956
0.0000 0.2846 4.6565
0.0000 5.6902 8.3266
1.9645 -0.3882 8.0309
1.9645 1.1997 1.3999
0.0000 3.7786 3.2982
0.0000 -1.5511 6.6544
0.0000 0.0000 0.0000
1.9645 2.0810 3.9725
1.9645 8.4411 3.0721
0.0000 4.8089 5.7540
1.9645 4.6839 0.0011
```

---

No. 3
First-principles (GGA-PBEsol) data for KCrTe3 after structural relaxation, as listed in Alexandria.

Output
Total moment   2.3 μB/f.u.
Formation energy (no corrections)   -138 meV/atom

POSCAR file:
```
KCrTe3
1.0
-1.7474 5.0045 0.1901
-4.5166 -1.6617 2.2302
2.1638 0.5728 4.8088
Te K Cr
3 1 1
Cartesian
-2.2583 -0.8309 1.1151
-0.8737 2.5023 0.0950
1.0819 0.2864 2.4044
-2.0501 1.9578 3.6146
0.0000 0.0000 0.0000
```

---

No. 4
First-principles (GGA-PBEsol) data for K3TiCr after structural relaxation, as listed in Alexandria.

Output
Total moment   9.1 μB/f.u.
DFT formation energy   1.64 eV per atom

POSCAR file:
```
K3TiCr
1.0
6.4483 0.0000 0.0000
0.0000 6.4483 0.0000
0.0000 0.0000 6.4483
Ti K Cr
1 3 1
Cartesian
0.0000 0.0000 0.0000
0.0000 0.0000 3.2242
0.0000 3.2242 0.0000
3.2242 0.0000 0.0000
3.2242 3.2242 3.2242
```

---

No. 5
First-principles (GGA-PBEsol) data for KTl2Cr after structural relaxation, as listed in Alexandria.

Output
Relative energy among the computed polymorphs   146 meV/atom
Total moment   3.8 μB/f.u.
DFT formation energy   0.47 eV per atom

POSCAR file:
```
KTl2Cr
1.0
3.4662 0.0000 0.0000
1.7331 3.0018 0.0000
1.7331 1.0006 10.0649
Cr Tl K
1 2 1
Cartesian
3.4662 2.0012 5.0324
5.1993 3.0018 7.1231
1.7331 1.0006 2.9418
0.0000 0.0000 0.0000
```

---

No. 6
First-principles (GGA-PBEsol) data for KTl2Cr after structural relaxation, as listed in Alexandria.

Output
Relative energy among the computed polymorphs   120 meV/atom
Total moment   3.9 μB/f.u.
DFT formation energy   0.44 eV per atom

POSCAR file:
```
KTl2Cr
1.0
3.2925 0.0000 0.1028
0.0000 4.5381 0.0000
-0.2347 0.0000 7.6667
Tl Cr K
2 1 1
Cartesian
2.8022 2.2691 2.6802
2.8700 0.0000 0.4207
1.1499 0.0000 2.8209
1.0571 2.2691 5.8353
```

---

No. 7
First-principles (GGA-PBEsol) data for KTl3Cr after structural relaxation, as listed in Alexandria.

Output
Total moment   4.8 μB/f.u.
DFT formation energy   1.32 eV per atom

POSCAR file:
```
KTl3Cr
1.0
5.8127 0.0000 0.0000
0.0000 5.8127 0.0000
0.0000 0.0000 5.8127
Tl Cr K
3 1 1
Cartesian
0.0000 2.9064 0.0000
2.9064 0.0000 0.0000
0.0000 0.0000 2.9064
2.9064 2.9064 2.9064
0.0000 0.0000 0.0000
```

---

No. 8
First-principles (GGA-PBEsol) data for KTl2Cr after structural relaxation, as listed in Alexandria.

Output
Relative energy among the computed polymorphs   170 meV/atom
Total moment   4.3 μB/f.u.
DFT formation energy   0.49 eV per atom

POSCAR file:
```
KTl2Cr
1.0
-3.3444 -1.9847 3.5057
4.7459 -2.1214 -0.5833
-0.5056 4.7271 2.1938
Cr K Tl
1 1 2
Cartesian
-1.9250 1.3712 2.8498
0.0000 0.0000 0.0000
-0.2617 -1.3674 2.8861
1.1577 1.9885 2.2301
```

---

No. 9
First-principles (GGA-PBEsol) data for KTlCr2 after structural relaxation, as listed in Alexandria.

Output
Relative energy among the computed polymorphs   0 meV/atom
Total moment   8.9 μB/f.u.
DFT formation energy   1.07 eV per atom

POSCAR file:
```
KTlCr2
1.0
3.2500 0.0000 0.0000
-1.6250 4.6732 0.0534
0.0000 -0.9401 7.0221
Cr Tl K
2 1 1
Cartesian
0.0000 2.0165 1.1656
1.6250 1.7166 5.9099
1.6250 0.0000 0.0000
0.0000 -0.4700 3.5110
```

---

No. 10
First-principles (GGA-PBEsol) data for KTl2Cr after structural relaxation, as listed in Alexandria.

Output
Relative energy among the computed polymorphs   0 meV/atom
Total moment   3.9 μB/f.u.
DFT formation energy   0.32 eV per atom

POSCAR file:
```
KTl2Cr
1.0
-1.8181 -2.7009 1.2238
2.6057 -2.1354 -0.8418
3.4231 1.1617 7.6496
K Tl Cr
1 2 1
Cartesian
2.1054 -1.8373 4.0158
2.7553 0.9350 6.1572
0.6678 0.2266 1.4924
0.3938 -2.4182 0.1910
```

---

No. 11
First-principles (GGA-PBEsol) data for KTlCr2 after structural relaxation, as listed in Alexandria.

Output
Relative energy among the computed polymorphs   56 meV/atom
Total moment   8.0 μB/f.u.
DFT formation energy   1.13 eV per atom

POSCAR file:
```
KTlCr2
1.0
4.9546 0.0000 0.0000
-2.4773 4.2822 0.1425
0.0000 2.7287 4.1355
Tl K Cr
1 1 2
Cartesian
0.0000 0.0000 0.0000
2.4773 1.3644 2.0678
0.0000 2.8233 1.1051
2.4773 4.1876 3.1729
```

---

No. 12
First-principles (GGA-PBEsol) data for KTlCr2 after structural relaxation, as listed in Alexandria.

Output
Relative energy among the computed polymorphs   163 meV/atom
Total moment   8.8 μB/f.u.
DFT formation energy   1.24 eV per atom

POSCAR file:
```
KTlCr2
1.0
5.1354 0.0000 0.0000
2.5677 4.4474 0.0000
2.5677 1.4825 4.1930
Cr K Tl
2 1 1
Cartesian
7.7031 4.4474 3.1448
0.0000 0.0000 0.0000
5.1354 2.9649 2.0965
2.5677 1.4825 1.0483
```

---

- total moment of number 9 (KTlCr2)?
  8.9 μB/f.u.

---

Repeat the fourth record exactly.
First-principles (GGA-PBEsol) data for K3TiCr after structural relaxation, as listed in Alexandria.

Output
Total moment   9.1 μB/f.u.
DFT formation energy   1.64 eV per atom

POSCAR file:
```
K3TiCr
1.0
6.4483 0.0000 0.0000
0.0000 6.4483 0.0000
0.0000 0.0000 6.4483
Ti K Cr
1 3 1
Cartesian
0.0000 0.0000 0.0000
0.0000 0.0000 3.2242
0.0000 3.2242 0.0000
3.2242 0.0000 0.0000
3.2242 3.2242 3.2242
```

---

Repeat the first record exactly.
First-principles (GGA-PBEsol) data for KCrTe after structural relaxation, as listed in Alexandria.

Output
Relative energy among the computed polymorphs   0 meV/atom
Total moment   5.0 μB/f.u.
Formation energy (no corrections)   -66 meV/atom

POSCAR file:
```
KCrTe
1.0
-1.1413 2.6939 3.6648
-2.0939 -4.1528 -0.5997
3.5953 -2.2089 2.7433
Cr K Te
1 1 1
Cartesian
1.7976 -1.1045 1.3717
-1.7764 -1.8706 0.8218
0.3388 -0.6928 3.6150
```